(1)
The following is a PBE-GGA calculation of a geometry-optimized SmTmIn structure, from Alexandria.

extended XYZ file:
```
6
Lattice="4.228 -4.714 0.000 4.228 4.714 0.000 0.000 0.000 5.656" Properties=species:S:1:pos:R:3 pbc="T T T"
Sm 4.228 3.127 0.000
Sm 4.228 -3.127 0.000
Tm 0.000 0.000 2.828
Tm 4.228 0.000 0.000
In 2.834 0.000 2.828
In 5.622 0.000 2.828
```

## Properties
SG: Cmmm, No. 65
Calculated density in g/cm3: 6.39
Polymorph energy (0 for the lowest one) in meV per atom: 958
Formation energy in eV per atom: 0.62

---

(2)
The following is a PBE-GGA calculation of a geometry-optimized PrSb2S4 structure, from Alexandria.

extended XYZ file:
```
14
Lattice="2.110 -6.352 0.000 2.110 6.352 0.000 0.000 0.000 13.014" Properties=species:S:1:pos:R:3 pbc="T T T"
Pr 2.110 4.808 9.761
Pr 2.110 -4.808 3.254
Sb 2.110 1.586 7.274
Sb 2.110 1.586 12.247
Sb 2.110 -1.586 0.767
Sb 2.110 -1.586 5.740
S 0.000 0.000 0.000
S 0.000 0.000 6.507
S 2.110 2.878 1.555
S 2.110 2.878 4.952
S 2.110 0.349 9.761
S 2.110 -0.349 3.254
S 2.110 -2.878 8.062
S 2.110 -2.878 11.459
```

## Properties
SG: Cmcm, No. 63
Calculated density in g/cm3: 4.88
Uncorrected formation energy in eV per atom: -0.749

---

(3)
The following is a PBE-GGA calculation of a geometry-optimized AcEr2Tc structure, from Alexandria.

extended XYZ file:
```
4
Lattice="1.776 1.025 11.079 -1.776 1.025 11.079 0.000 -2.051 11.079" Properties=species:S:1:pos:R:3 pbc="T T T"
Ac 0.000 0.000 0.000
Er 0.000 0.000 3.619
Er 0.000 0.000 29.618
Tc 0.000 0.000 16.618
```

## Properties
SG: R-3m, No. 166
Calculated density in g/cm3: 9.05
Polymorph energy (0 for the lowest one) in meV per atom: 238
Formation energy in eV per atom: 0.27

---

(4)
The following is a PBE-GGA calculation of a geometry-optimized Ce2HoRu3 structure, from Alexandria.

extended XYZ file:
```
12
Lattice="4.731 0.000 0.000 2.055 4.271 0.000 0.552 0.386 12.156" Properties=species:S:1:pos:R:3 pbc="T T T"
Ce 0.000 0.000 0.000
Ce 0.276 0.193 6.078
Ce 2.314 1.477 2.062
Ce 5.024 3.180 10.094
Ho 2.665 1.697 8.086
Ho 4.673 2.960 4.070
Ru 0.252 0.178 2.925
Ru 2.282 1.453 5.145
Ru 2.974 1.882 11.068
Ru 4.363 2.775 1.088
Ru 5.056 3.204 7.010
Ru 7.086 4.479 9.231
```

## Properties
SG: P-1, No. 2
Calculated density in g/cm3: 10.12
Polymorph energy (0 for the lowest one) in meV per atom: 0
Formation energy in eV per atom: -0.35

---

(5)
The following is a PBE-GGA calculation of a geometry-optimized KAg2Ir structure, from Alexandria.

extended XYZ file:
```
4
Lattice="2.844 0.000 0.000 0.000 2.844 0.000 0.000 0.000 9.816" Properties=species:S:1:pos:R:3 pbc="T T T"
K 0.000 0.000 0.000
Ag 0.000 0.000 5.167
Ag 1.422 1.422 2.973
Ir 1.422 1.422 7.231
```

## Properties
SG: P4mm, No. 99
Calculated density in g/cm3: 9.35
Polymorph energy (0 for the lowest one) in meV per atom: 44
Formation energy in eV per atom: 0.52

---

(6)
The following is a PBE-GGA calculation of a geometry-optimized Sb4Mo structure, from Alexandria.

extended XYZ file:
```
5
Lattice="5.237 0.000 0.000 0.000 5.237 0.000 0.000 0.000 5.237" Properties=species:S:1:pos:R:3 pbc="T T T"
Sb 0.000 0.000 0.000
Sb 0.000 2.618 2.618
Sb 2.618 0.000 2.618
Sb 2.618 2.618 0.000
Mo 2.618 2.618 2.618
```

## Properties
SG: Pm-3m, No. 221
Calculated density in g/cm3: 6.74
Polymorph energy (0 for the lowest one) in meV per atom: 436
Uncorrected formation energy in eV per atom: 0.529

---

(7)
The following is a PBE-GGA calculation of a geometry-optimized NbNiAu structure, from Alexandria.

extended XYZ file:
```
3
Lattice="4.424 0.000 0.000 -2.212 3.831 0.000 0.000 0.000 2.745" Properties=species:S:1:pos:R:3 pbc="T T T"
Nb 0.000 0.000 0.000
Ni 2.212 1.277 1.373
Au 0.000 2.554 1.373
```

## Properties
SG: P-6m2, No. 187
Calculated density in g/cm3: 12.44
Polymorph energy (0 for the lowest one) in meV per atom: 50
Formation energy in eV per atom: -0.13

---

(8)
The following is a PBE-GGA calculation of a geometry-optimized CsBeBiSe3 structure, from Alexandria.

extended XYZ file:
```
12
Lattice="9.920 0.000 0.000 0.000 4.103 0.000 -3.637 0.000 9.587" Properties=species:S:1:pos:R:3 pbc="T T T"
Cs 1.621 1.026 1.884
Cs 4.661 3.078 7.704
Be 0.602 3.078 8.865
Be 5.680 1.026 0.722
Bi -1.023 1.026 6.351
Bi 7.305 3.078 3.236
Se -1.581 3.078 8.364
Se -0.063 3.078 4.399
Se 1.617 1.026 8.095
Se 4.665 3.078 1.493
Se 6.345 1.026 5.189
Se 7.863 1.026 1.223
```

## Properties
SG: P2_1/m, No. 11
Calculated density in g/cm3: 5.00
Uncorrected formation energy in eV per atom: -0.767